Entry 1:
{"formula": "LiTaCoB", "functional": "PBE", "state": "optimized geometry", "relative_energy_mev_per_atom": 85, "energy_ev_per_atom": -6.75, "sg": "F-43m (216)", "lattice": [[-3.4996, -1.8136, 0.6725], [-2.8141, 1.8284, 2.1741], [-3.3241, 1.3527, -1.7632]], "species": ["Li", "B", "Co", "Ta"], "frac_coords": [[0.7500, 0.7500, 0.7500], [0.5000, 0.5000, 0.5000], [0.0000, 0.0000, 0.0000], [0.2500, 0.2500, 0.2500]]}

***

Entry 2:
{"formula": "LiTaCoB", "functional": "PBE", "state": "optimized geometry", "relative_energy_mev_per_atom": 0, "energy_ev_per_atom": -6.84, "sg": "F-43m (216)", "lattice": [[-0.5761, -3.8816, 0.2107], [0.7195, -1.9139, 3.3559], [-2.9807, -1.4316, 2.1235]], "species": ["Co", "B", "Ta", "Li"], "frac_coords": [[0.2500, 0.2500, 0.2500], [0.0000, 0.0000, 0.0000], [0.5000, 0.5000, 0.5000], [0.7500, 0.7500, 0.7500]]}

***

Entry 3:
{"formula": "LiTaCoB", "functional": "PBE", "state": "optimized geometry", "relative_energy_mev_per_atom": 130, "energy_ev_per_atom": -6.71, "sg": "F-43m (216)", "lattice": [[-3.0169, -2.2324, 1.0853], [-1.6113, 0.4738, 3.5274], [-3.5671, 1.5599, 0.3246]], "species": ["B", "Ta", "Co", "Li"], "frac_coords": [[0.2500, 0.2500, 0.2500], [0.5000, 0.5000, 0.5000], [0.0000, 0.0000, 0.0000], [0.7500, 0.7500, 0.7500]]}